Entry 1:
The following is a DFT calculation (meta-GGA SCAN) of a PBEsol-optimized structure of K2ZrCuBi.

a = 5.5943 Å, b = 6.5740 Å, c = 6.5740 Å
α = 90.00°, β = 90.00°, γ = 90.00°
Last column: nearest neighbours and their distance in Å.
Fractional coordinates of all 5 atoms:
K 0.0000 0.5000 0.0000  2 Bi 3.29
K 0.0000 0.0000 0.5000  2 Bi 3.29
Zr 0.5000 0.0000 0.0000  2 Bi 2.80
Cu 0.5000 0.5000 0.5000  8 K 4.32, 4 Zr 4.65
Bi 0.0000 0.0000 0.0000  2 Zr 2.80

calculated total energy = -137.6 eV for the cell shown
density of states at the Fermi level = 0.87 states/eV per cell
total magnetic moment = 2.00 μB per formula unit
calculated formation energy = 0.7124 eV/atom


Entry 2:
The following is a DFT calculation (meta-GGA SCAN) of a PBEsol-optimized structure of B5Pb2IO9.

a = 6.5128 Å, b = 11.5658 Å, c = 11.7359 Å
α = 90.00°, β = 90.00°, γ = 90.00°
Last column: nearest neighbours and their distance in Å.
Fractional coordinates of all 68 atoms:
B 0.3578 0.1789 0.2301  4 O 1.46-1.49
B 0.5251 0.7845 0.2881  4 O 1.44-1.51
B 0.2102 0.7029 0.1787  4 O 1.47-1.49
B 0.8578 0.6789 0.2699  4 O 1.46-1.49
B 0.5843 0.0076 0.2533  3 O 1.37-1.38
B 0.0251 0.2845 0.2119  4 O 1.44-1.51
B 0.0843 0.5076 0.2467  3 O 1.37-1.38
B 0.5843 0.9924 0.7467  3 O 1.37-1.38
B 0.7447 0.2348 0.5439  3 O 1.36-1.39
B 0.2102 0.2971 0.8213  4 O 1.47-1.49
B 0.8578 0.3211 0.7301  4 O 1.46-1.49
B 0.7102 0.2029 0.3213  4 O 1.47-1.49
B 0.2447 0.2652 0.0439  3 O 1.36-1.39
B 0.0251 0.7155 0.7881  4 O 1.44-1.51
B 0.2447 0.7348 0.9561  3 O 1.36-1.39
B 0.0843 0.4924 0.7533  3 O 1.37-1.38
B 0.3578 0.8211 0.7699  4 O 1.46-1.49
B 0.7447 0.7652 0.4561  3 O 1.36-1.39
B 0.7102 0.7971 0.6787  4 O 1.47-1.49
B 0.5251 0.2155 0.7119  4 O 1.44-1.51
O 0.9005 0.7359 0.3804  2 B 1.39-1.48
O 0.6421 0.6887 0.2369  2 B 1.46-1.47
O 0.4882 0.2307 0.3199  2 B 1.48
O 0.0508 0.7147 0.9150  2 B 1.37-1.50
O 0.8989 0.5529 0.2802  2 B 1.37-1.49
O 0.5508 0.2147 0.5850  2 B 1.37-1.50
O 0.2373 0.5779 0.2057  2 B 1.37-1.49
O 0.7373 0.9221 0.7057  2 B 1.37-1.49
O 0.1421 0.1887 0.2631  2 B 1.46-1.47
O 0.8044 0.7738 0.5671  2 B 1.36-1.47
O 0.4882 0.7693 0.6801  2 B 1.48
O 0.3989 0.9471 0.7802  2 B 1.37-1.49
O 0.1421 0.8113 0.7369  2 B 1.46-1.47
O 0.9882 0.2693 0.8199  2 B 1.48
O 0.2373 0.4221 0.7943  2 B 1.37-1.49
O 0.1267 0.6082 0.7405  2 B 1.38-1.51
O 0.3082 0.2224 0.7358  2 B 1.44-1.47
O 0.9882 0.7307 0.1801  2 B 1.48
O 0.0508 0.2853 0.0850  2 B 1.37-1.50
O 0.8989 0.4471 0.7198  2 B 1.37-1.49
O 0.3044 0.7262 0.0671  2 B 1.36-1.47
O 0.3044 0.2738 0.9329  2 B 1.36-1.47
O 0.8044 0.2262 0.4329  2 B 1.36-1.47
O 0.4005 0.7641 0.8804  2 B 1.39-1.48
O 0.3989 0.0529 0.2198  2 B 1.37-1.49
O 0.9005 0.2641 0.6196  2 B 1.39-1.48
O 0.1267 0.3918 0.2595  2 B 1.38-1.51
O 0.4005 0.2359 0.1196  2 B 1.39-1.48
O 0.3082 0.7776 0.2642  2 B 1.44-1.47
O 0.6267 0.1082 0.7595  2 B 1.38-1.51
O 0.7373 0.0779 0.2943  2 B 1.37-1.49
O 0.6267 0.8918 0.2405  2 B 1.38-1.51
O 0.6421 0.3113 0.7631  2 B 1.46-1.47
O 0.5508 0.7853 0.4150  2 B 1.37-1.50
O 0.8082 0.7224 0.7642  2 B 1.44-1.47
O 0.8082 0.2776 0.2358  2 B 1.44-1.47
I 0.2578 0.0000 0.5000  4 Pb 3.13-3.14, 4 O 3.29-3.47
I 0.9894 0.0000 0.0000  4 Pb 3.16-3.27, 2 O 3.47, 2 B 3.53
I 0.4894 0.5000 0.5000  4 Pb 3.16-3.27, 2 O 3.47, 2 B 3.53
I 0.7578 0.5000 0.0000  4 Pb 3.13-3.14, 4 O 3.29-3.47
Pb 0.0607 0.0511 0.7387  5 O 2.56-2.82
Pb 0.0607 0.9489 0.2613  5 O 2.56-2.82
Pb 0.7121 0.7670 0.0366  5 O 2.50-2.74
Pb 0.2121 0.2670 0.4634  5 O 2.50-2.74
Pb 0.5607 0.5511 0.7613  5 O 2.56-2.82
Pb 0.7121 0.2330 0.9634  5 O 2.50-2.74
Pb 0.2121 0.7330 0.5366  5 O 2.50-2.74
Pb 0.5607 0.4489 0.2387  5 O 2.56-2.82

calculated total energy = -1279.1 eV for the cell shown
density of states at the Fermi level = 0.00 states/eV per cell
total magnetic moment = 0.00 μB per formula unit
formation energy from raw total energies = -2250.3 meV/atom


Entry 3:
The following is a DFT calculation (meta-GGA SCAN) of a PBEsol-optimized structure of Mn2Co.

a = 2.4158 Å, b = 3.8282 Å, c = 3.8282 Å
α = 120.00°, β = 90.00°, γ = 90.00°
Last column: nearest neighbours and their distance in Å.
Fractional coordinates of all 3 atoms:
Co 0.0000 0.0000 0.0000  2 Co 2.42, 12 Mn 2.52
Mn 0.4998 0.3333 0.6667  5 Mn 2.21-2.42
Mn 0.5002 0.6667 0.3333  5 Mn 2.21-2.42

calculated total energy = -53.0 eV for the cell shown
density of states at the Fermi level = 2.70 states/eV per cell
total magnetic moment = 0.00 μB per formula unit
calculated formation energy = 0.2847 eV/atom


Entry 4:
The following is a DFT calculation (meta-GGA SCAN) of a PBEsol-optimized structure of SrNiSe2N.

a = 4.6360 Å, b = 5.6403 Å, c = 5.6403 Å
α = 90.00°, β = 90.00°, γ = 90.00°
Last column: nearest neighbours and their distance in Å.
Fractional coordinates of all 5 atoms:
Sr 0.0000 0.0000 0.0000  2 N 2.32
Se 0.0000 0.0000 0.5000  2 Sr 2.82
Se 0.0000 0.5000 0.0000  2 Sr 2.82
Ni 0.5000 0.5000 0.5000  8 Se 3.65, 4 N 3.99
N 0.5000 0.0000 0.0000  2 Sr 2.32

calculated total energy = -82.0 eV for the cell shown
density of states at the Fermi level = 4.98 states/eV per cell
total magnetic moment = 5.01 μB per formula unit
formation energy from raw total energies = 1183.8 meV/atom


Entry 5:
The following is a DFT calculation (meta-GGA SCAN) of a PBEsol-optimized structure of TlB2SeCl.

a = 4.5824 Å, b = 4.5824 Å, c = 4.8735 Å
α = 90.00°, β = 90.00°, γ = 90.00°
Last column: nearest neighbours and their distance in Å.
Fractional coordinates of all 5 atoms:
B 0.0000 0.5000 0.0000  2 Cl 2.29
B 0.5000 0.0000 0.0000  2 Cl 2.29
Tl 0.5000 0.5000 0.5000  4 Se 3.24, 8 B 3.34
Cl 0.0000 0.0000 0.0000  4 B 2.29, 2 Se 2.44
Se 0.0000 0.0000 0.5000  2 Cl 2.44

calculated total energy = -106.1 eV for the cell shown
density of states at the Fermi level = 3.73 states/eV per cell
total magnetic moment = 0.00 μB per formula unit
formation energy from raw total energies = 1837.8 meV/atom


Entry 6:
The following is a DFT calculation (meta-GGA SCAN) of a PBEsol-optimized structure of Ba2GaH.

a = 6.8442 Å, b = 6.8442 Å, c = 6.8442 Å
α = 106.20°, β = 111.13°, γ = 111.13°
Last column: nearest neighbours and their distance in Å.
Fractional coordinates of all 8 atoms:
H 0.5000 0.2500 0.7500  4 Ba 2.55
H 0.0000 0.5000 0.5000  4 Ba 2.55
Ba 0.5811 0.3750 0.4561  2 H 2.55
Ba 0.4189 0.8750 0.7939  2 H 2.55
Ba 0.9189 0.5439 0.1250  2 H 2.55
Ba 0.0811 0.2061 0.6250  2 H 2.55
Ga 0.0000 0.0000 0.0000  4 Ba 3.37
Ga 0.5000 0.7500 0.2500  4 Ba 3.37

calculated total energy = -199.8 eV for the cell shown
density of states at the Fermi level = 5.02 states/eV per cell
total magnetic moment = 0.00 μB per formula unit


Entry 7:
The following is a DFT calculation (meta-GGA SCAN) of a PBEsol-optimized structure of Li2HgSe.

a = 3.9192 Å, b = 3.9192 Å, c = 5.5128 Å
α = 110.82°, β = 110.82°, γ = 90.00°
Last column: nearest neighbours and their distance in Å.
Fractional coordinates of all 4 atoms:
Se 0.5000 0.5000 0.0000  8 Li 2.77-3.09, 4 Hg 3.09
Li 0.0000 0.0000 0.0000  4 Se 2.77, 4 Hg 3.09, 4 Li 3.09
Li 0.7500 0.2500 0.5000  4 Hg 2.77, 4 Se 3.09, 4 Li 3.09
Hg 0.2500 0.7500 0.5000  8 Li 2.77-3.09, 4 Se 3.09

calculated total energy = -95.7 eV for the cell shown
density of states at the Fermi level = 0.64 states/eV per cell
total magnetic moment = 0.00 μB per formula unit
formation energy from raw total energies = -675.5 meV/atom


Entry 8:
The following is a DFT calculation (meta-GGA SCAN) of a PBEsol-optimized structure of ScMoCl2.

a = 3.0548 Å, b = 3.0548 Å, c = 8.1047 Å
α = 90.00°, β = 90.00°, γ = 90.00°
Last column: nearest neighbours and their distance in Å.
Fractional coordinates of all 4 atoms:
Sc 0.5000 0.5000 0.7473  4 Cl 2.67
Mo 0.0000 0.0000 0.4829  4 Cl 2.49
Cl 0.5000 0.5000 0.3294  4 Mo 2.49
Cl 0.0000 0.0000 0.9404  4 Sc 2.67

calculated total energy = -67.8 eV for the cell shown
density of states at the Fermi level = 3.35 states/eV per cell
total magnetic moment = 0.00 μB per formula unit
formation energy from raw total energies = -689.1 meV/atom


Entry 9:
The following is a DFT calculation (meta-GGA SCAN) of a PBEsol-optimized structure of MnTc2Ru.

a = 2.7970 Å, b = 4.3894 Å, c = 4.3894 Å
α = 90.00°, β = 90.00°, γ = 90.00°
Last column: nearest neighbours and their distance in Å.
Fractional coordinates of all 4 atoms:
Ru 0.5000 0.0000 0.0000  8 Tc 2.60, 2 Ru 2.80
Tc 0.0000 0.5000 0.0000  4 Mn 2.60, 4 Ru 2.60, 2 Tc 2.80
Tc 0.0000 0.0000 0.5000  4 Ru 2.60, 4 Mn 2.60, 2 Tc 2.80
Mn 0.5000 0.5000 0.5000  8 Tc 2.60, 2 Mn 2.80

calculated total energy = -122.6 eV for the cell shown
density of states at the Fermi level = 4.13 states/eV per cell
total magnetic moment = 2.83 μB per formula unit
calculated formation energy = 0.1473 eV/atom


Entry 10:
The following is a DFT calculation (meta-GGA SCAN) of a PBEsol-optimized structure of SiWBr2.

a = 3.0900 Å, b = 4.7644 Å, c = 4.7644 Å
α = 90.04°, β = 90.00°, γ = 90.00°
Last column: nearest neighbours and their distance in Å.
Fractional coordinates of all 4 atoms:
Si 0.5000 0.0000 0.0000  8 Br 2.84, 2 Si 3.09
Br 0.0000 0.0000 0.5000  4 Si 2.84, 4 W 2.84, 2 Br 3.09
Br 0.0000 0.5000 0.0000  4 W 2.84, 4 Si 2.84, 2 Br 3.09
W 0.5000 0.5000 0.5000  8 Br 2.84, 2 W 3.09

calculated total energy = -112.6 eV for the cell shown
density of states at the Fermi level = 2.83 states/eV per cell
total magnetic moment = 0.00 μB per formula unit
formation energy from raw total energies = 1506.2 meV/atom


Q: Among the records above, which one has the lowest density of states at the Fermi level?
A: B5Pb2IO9


Q: What is the total magnetic moment in the third record?
A: 0.00 μB per formula unit